Compound: KHfHg
Source: the Open Quantum Materials Database
Functional: PBE
Structure: relaxed

Unit cell a=5.125 b=5.125 c=5.125 alpha=60.00 beta=60.00 gamma=60.00
Atoms (fractional coordinates):
1 Hf 0.250 0.250 0.250
2 Hg 0.000 0.000 0.000
3 K 0.750 0.750 0.750

## Properties
DFT total energy: -2.82 eV per atom
SG: F-43m (216)
Energy above the most stable polymorph in this dataset: 0.0000 eV per atom